Entry 1:
# BaEu4Y PBE-GGA optimized geometry
data_BaEu4Y
_chemical_formula_sum 'Ba4 Eu16 Y4'
_cell_length_a 10.1770
_cell_length_b 10.1770
_cell_length_c 10.1770
_cell_angle_alpha 90.00
_cell_angle_beta 90.00
_cell_angle_gamma 90.00
_space_group_name_H-M_alt 'F -4 3 m'
_space_group_IT_number 216
_space_group_name_Hall 'F -4 2 3'
loop_
_atom_site_label
_atom_site_type_symbol
_atom_site_fract_x
_atom_site_fract_y
_atom_site_fract_z
Ba1 Ba 0.0000 0.0000 0.0000
Eu1 Eu 0.1229 0.1229 0.3771
Y1 Y 0.2500 0.2500 0.7500
# calculated total energy: -193.1 eV for the cell shown
# mass density: 5256 kg/m³
# ΔE_f: 0.201 eV/atom
# total magnetic moment: 123.14 μB/cell

=====

Entry 2:
# BaEu2Y PBE-GGA optimized geometry
data_BaEu2Y
_chemical_formula_sum 'Ba4 Eu8 Y4'
_cell_length_a 8.8112
_cell_length_b 8.8112
_cell_length_c 8.8112
_cell_angle_alpha 90.00
_cell_angle_beta 90.00
_cell_angle_gamma 90.00
_space_group_name_H-M_alt 'F m -3 m'
_space_group_IT_number 225
_space_group_name_Hall '-F 4 2 3'
loop_
_atom_site_label
_atom_site_type_symbol
_atom_site_fract_x
_atom_site_fract_y
_atom_site_fract_z
Ba1 Ba 0.0000 0.0000 0.0000
Eu1 Eu 0.2500 0.2500 0.2500
Y1 Y 0.0000 0.0000 0.5000
# calculated total energy: -113.2 eV for the cell shown
# mass density: 5148 kg/m³
# ΔE_f: 0.161 eV/atom
# total magnetic moment: 59.98 μB/cell

=====

Entry 3:
# BaEuY PBE-GGA optimized geometry
data_BaEuY
_chemical_formula_sum 'Ba2 Eu2 Y2'
_cell_length_a 3.9271
_cell_length_b 3.9271
_cell_length_c 16.9705
_cell_angle_alpha 90.00
_cell_angle_beta 90.00
_cell_angle_gamma 90.00
_space_group_name_H-M_alt 'I 4 m m'
_space_group_IT_number 107
_space_group_name_Hall 'I 4 -2'
loop_
_atom_site_label
_atom_site_type_symbol
_atom_site_fract_x
_atom_site_fract_y
_atom_site_fract_z
Ba1 Ba 0.0000 0.0000 0.0000
Eu1 Eu 0.0000 0.0000 0.6868
Y1 Y 0.0000 0.0000 0.3299
# calculated total energy: -36.3 eV for the cell shown
# mass density: 4799 kg/m³
# ΔE_f: 0.166 eV/atom
# total magnetic moment: 16.11 μB/cell

=====

Entry 4:
# Ba2EuY PBE-GGA optimized geometry
data_Ba2EuY
_chemical_formula_sum 'Ba2 Eu1 Y1'
_cell_length_a 4.4332
_cell_length_b 4.4332
_cell_length_c 9.9038
_cell_angle_alpha 90.00
_cell_angle_beta 90.00
_cell_angle_gamma 90.00
_space_group_name_H-M_alt 'P 4/m m m'
_space_group_IT_number 123
_space_group_name_Hall '-P 4 2'
loop_
_atom_site_label
_atom_site_type_symbol
_atom_site_fract_x
_atom_site_fract_y
_atom_site_fract_z
Ba1 Ba 0.0000 0.0000 0.2271
Eu1 Eu 0.5000 0.5000 0.5000
Y1 Y 0.5000 0.5000 0.0000
# calculated total energy: -19.8 eV for the cell shown
# mass density: 4398 kg/m³
# ΔE_f: 0.195 eV/atom
# total magnetic moment: 7.14 μB/cell

=====

Entry 5:
# BaEuZn PBE-GGA optimized geometry
data_BaEuZn
_chemical_formula_sum 'Ba2 Eu2 Zn2'
_cell_length_a 3.9916
_cell_length_b 3.9916
_cell_length_c 14.1754
_cell_angle_alpha 90.00
_cell_angle_beta 90.00
_cell_angle_gamma 90.00
_space_group_name_H-M_alt 'I 4 m m'
_space_group_IT_number 107
_space_group_name_Hall 'I 4 -2'
loop_
_atom_site_label
_atom_site_type_symbol
_atom_site_fract_x
_atom_site_fract_y
_atom_site_fract_z
Ba1 Ba 0.0000 0.0000 0.0000
Eu1 Eu 0.0000 0.0000 0.7361
Zn1 Zn 0.0000 0.0000 0.3515
# calculated total energy: -27.8 eV for the cell shown
# mass density: 5216 kg/m³
# ΔE_f: -0.136 eV/atom
# total magnetic moment: 14.72 μB/cell

=====

Entry 6:
# BaEuZn PBE-GGA optimized geometry
data_BaEuZn
_chemical_formula_sum 'Ba4 Eu4 Zn4'
_cell_length_a 7.9101
_cell_length_b 7.9101
_cell_length_c 7.9101
_cell_angle_alpha 90.00
_cell_angle_beta 90.00
_cell_angle_gamma 90.00
_space_group_name_H-M_alt 'F -4 3 m'
_space_group_IT_number 216
_space_group_name_Hall 'F -4 2 3'
loop_
_atom_site_label
_atom_site_type_symbol
_atom_site_fract_x
_atom_site_fract_y
_atom_site_fract_z
Ba1 Ba 0.0000 0.0000 0.0000
Eu1 Eu 0.0000 0.0000 0.5000
Zn1 Zn 0.2500 0.2500 0.2500
# calculated total energy: -53.8 eV for the cell shown
# mass density: 4760 kg/m³
# ΔE_f: 0.007 eV/atom
# total magnetic moment: 31.35 μB/cell

=====

Entry 7:
# BaEuZn PBE-GGA optimized geometry
data_BaEuZn
_chemical_formula_sum 'Ba1 Eu1 Zn1'
_cell_length_a 5.4248
_cell_length_b 5.4248
_cell_length_c 4.5344
_cell_angle_alpha 90.00
_cell_angle_beta 90.00
_cell_angle_gamma 120.00
_space_group_name_H-M_alt 'P 3 m 1'
_space_group_IT_number 156
loop_
_space_group_symop_operation_xyz
'x,y,z'
'-y,x-y,z'
'-x+y,-x,z'
'-y,-x,z'
'-x+y,y,z'
'x,x-y,z'
loop_
_atom_site_label
_atom_site_type_symbol
_atom_site_fract_x
_atom_site_fract_y
_atom_site_fract_z
Ba1 Ba 0.0000 0.0000 0.0000
Eu1 Eu 0.6667 0.3333 0.4980
Zn1 Zn 0.3333 0.6667 0.5106
# calculated total energy: -13.4 eV for the cell shown
# mass density: 5097 kg/m³
# ΔE_f: 0.011 eV/atom
# total magnetic moment: 7.42 μB/cell

=====

Entry 8:
# Ba2F5 PBE-GGA optimized geometry
data_Ba2F5
_chemical_formula_sum 'Ba8 F20'
_cell_length_a 7.0479
_cell_length_b 13.9487
_cell_length_c 5.0433
_cell_angle_alpha 90.00
_cell_angle_beta 90.00
_cell_angle_gamma 90.00
_space_group_name_H-M_alt 'I b a m'
_space_group_IT_number 72
_space_group_name_Hall '-I 2 2c'
loop_
_atom_site_label
_atom_site_type_symbol
_atom_site_fract_x
_atom_site_fract_y
_atom_site_fract_z
Ba1 Ba 0.2335 0.1179 0.0000
F1 F 0.0000 0.2631 0.2500
F2 F 0.0000 0.5000 0.2500
F3 F 0.1414 0.0741 0.5000
# calculated total energy: -145.5 eV for the cell shown
# E_form (uncorrected): -3.3092 eV per atom
# mass density: 4952 kg/m³
# total magnetic moment: 4.27 μB/cell

=====

Entry 9:
# BaF3 PBE-GGA optimized geometry
data_BaF3
_chemical_formula_sum 'Ba4 F12'
_cell_length_a 3.9573
_cell_length_b 3.9573
_cell_length_c 19.3966
_cell_angle_alpha 90.00
_cell_angle_beta 90.00
_cell_angle_gamma 90.00
_space_group_name_H-M_alt 'I -4 2 d'
_space_group_IT_number 122
_space_group_name_Hall 'I -4 2bw'
loop_
_atom_site_label
_atom_site_type_symbol
_atom_site_fract_x
_atom_site_fract_y
_atom_site_fract_z
Ba1 Ba 0.0000 0.0000 0.0000
F1 F 0.0000 0.0000 0.5000
F2 F 0.0999 0.2500 0.1250
# calculated total energy: -73.3 eV for the cell shown
# E_form (uncorrected): -2.6964 eV per atom
# mass density: 4249 kg/m³
# total magnetic moment: 4.00 μB/cell

=====

Entry 10:
# BaF3 PBE-GGA optimized geometry
data_BaF3
_chemical_formula_sum 'Ba2 F6'
_cell_length_a 4.2560
_cell_length_b 4.3274
_cell_length_c 6.9434
_cell_angle_alpha 90.00
_cell_angle_beta 90.00
_cell_angle_gamma 90.00
_space_group_name_H-M_alt 'I m m m'
_space_group_IT_number 71
_space_group_name_Hall '-I 2 2'
loop_
_atom_site_label
_atom_site_type_symbol
_atom_site_fract_x
_atom_site_fract_y
_atom_site_fract_z
Ba1 Ba 0.0000 0.0000 0.0000
F1 F 0.0000 0.0000 0.5000
F2 F 0.0000 0.5000 0.2461
# calculated total energy: -37.6 eV for the cell shown
# E_form (uncorrected): -2.8142 eV per atom
# mass density: 5047 kg/m³
# total magnetic moment: 2.01 μB/cell

=====

Entry 11:
# BaF6 PBE-GGA optimized geometry
data_BaF6
_chemical_formula_sum 'Ba2 F12'
_cell_length_a 6.1317
_cell_length_b 6.1317
_cell_length_c 6.1317
_cell_angle_alpha 90.00
_cell_angle_beta 90.00
_cell_angle_gamma 90.00
_space_group_name_H-M_alt 'I m -3 m'
_space_group_IT_number 229
_space_group_name_Hall '-I 4 2 3'
loop_
_atom_site_label
_atom_site_type_symbol
_atom_site_fract_x
_atom_site_fract_y
_atom_site_fract_z
Ba1 Ba 0.0000 0.0000 0.0000
F1 F 0.0000 0.2500 0.5000
# calculated total energy: -42.1 eV for the cell shown
# E_form (uncorrected): -1.1295 eV per atom
# mass density: 3620 kg/m³
# total magnetic moment: 8.01 μB/cell

=====

Entry 12:
# Ba4F PBE-GGA optimized geometry
data_Ba4F
_chemical_formula_sum 'Ba4 F1'
_cell_length_a 6.1130
_cell_length_b 6.1130
_cell_length_c 6.1130
_cell_angle_alpha 90.00
_cell_angle_beta 90.00
_cell_angle_gamma 90.00
_space_group_name_H-M_alt 'P m -3 m'
_space_group_IT_number 221
_space_group_name_Hall '-P 4 2 3'
loop_
_atom_site_label
_atom_site_type_symbol
_atom_site_fract_x
_atom_site_fract_y
_atom_site_fract_z
Ba1 Ba 0.0000 0.0000 0.0000
Ba2 Ba 0.0000 0.5000 0.5000
F1 F 0.5000 0.5000 0.5000
# calculated total energy: -14.6 eV for the cell shown
# E_form (uncorrected): -0.9978 eV per atom
# mass density: 4131 kg/m³
# total magnetic moment: 0.00 μB/cell